AlZnCu2S4 after structural relaxation, computed with GGA-PBE.

abc: 5.2906 5.2906 6.5783
angles: 113.72 113.72 90.00
Atoms (fractional coordinates):
Al 0.5001 0.5001 0.0001
Zn 0.0000 0.0000 0.0000
Cu 0.7501 0.2501 0.5001
Cu 0.2501 0.7501 0.5001
S 0.6179 0.6179 0.7474
S 0.3821 0.8705 0.2527
S 0.8705 0.3821 0.2527
S 0.1296 0.1296 0.7474

Values from the calculation:
Space group: I-42m
Electronic total energy, eV/atom: -4.363